No. 1
Below is a geometry-optimized Pr8Ga3OsBr4 structure, with properties calculated at the PBE level.

POSCAR file:
```
Pr8Ga3OsBr4
1.0
4.307 2.486 7.504
-4.307 2.486 7.504
0.000 -4.973 7.504
Pr Ga Os Br
8 3 1 4
direct
0.244 0.244 0.244 Pr
0.255 0.728 0.728 Pr
0.272 0.272 0.745 Pr
0.272 0.745 0.272 Pr
0.728 0.255 0.728 Pr
0.728 0.728 0.255 Pr
0.745 0.272 0.272 Pr
0.756 0.756 0.756 Pr
0.000 0.000 0.500 Ga
0.000 0.500 0.000 Ga
0.500 0.000 0.000 Ga
0.500 0.500 0.500 Os
0.000 0.000 0.000 Br
0.000 0.500 0.500 Br
0.500 0.000 0.500 Br
0.500 0.500 0.000 Br
```

Uncorrected formation energy in meV/atom: -839
DOS at the Fermi energy in states/eV/f.u.: 12.23
Final energy in eV/atom: -4.916

***

No. 2
Below is a geometry-optimized ReAsRh structure, with properties calculated at the PBE level.

POSCAR file:
```
ReAsRh
1.0
0.000 2.411 6.938
1.398 0.000 6.938
1.398 2.411 0.000
Re As Rh
1 1 1
direct
0.000 0.000 0.000 Re
0.671 0.671 0.329 As
0.340 0.340 0.660 Rh
```

DOS at the Fermi energy in states/eV/f.u.: 2.72
E_form in eV/atom: 0.400
Energy above the lowest structure with this stoichiometry in eV/atom: 0.339
Final energy in eV/atom: -7.750